(1)
The following is a DFT calculation (GGA-PBE) of a geometry-optimized Zr2Pt2Se structure.

- energy relative to the elements, uncorrected (eV/atom) = -0.914
- space group = P4/mbm (127)

Cell lengths 7.4220, 7.4220, 3.6379 Å; angles 90.00, 90.00, 90.00 degrees
Sites, in units of the cell vectors:
Se 0.0000 0.0000 0.0000
Se 0.5000 0.5000 0.0000
Zr 0.3316 0.8316 0.0000
Zr 0.8316 0.6684 0.0000
Zr 0.6684 0.1684 0.0000
Zr 0.1684 0.3316 0.0000
Pt 0.1298 0.6298 0.5000
Pt 0.6298 0.8702 0.5000
Pt 0.8702 0.3702 0.5000
Pt 0.3702 0.1298 0.5000



(2)
The following is a DFT calculation (GGA-PBE) of a geometry-optimized Pu3Cu3Ru2 structure.

- ΔE_f (eV per atom) = -0.023
- space group = P-62m (189)

Cell lengths 3.9640, 6.6434, 6.6434 Å; angles 120.00, 90.00, 90.00 degrees
Each line ends with the local moment (μB).
Sites, in units of the cell vectors:
Pu 0.5000 0.3976 0.3976  5.13
Pu 0.5000 0.6024 0.0000  5.13
Pu 0.5000 0.0000 0.6024  5.13
Cu 0.0000 0.7799 0.7799  0.03
Cu 0.0000 0.2201 0.0000  0.03
Cu 0.0000 0.0000 0.2201  0.03
Ru 0.0000 0.3333 0.6667  -0.56
Ru 0.0000 0.6667 0.3333  -0.56



It is found that the total energy values, taken in the order of the records, are -7.45; -9.25 eV/atom.